Record 1
AlZnCr2 (GGA-PBEsol, relaxed); DFT formation energy = 53 meV per atom; electronic total energy = -6.486 eV per atom; ρ = 6.56 g/cm³; crystal system = monoclinic
1.0
2.5527 0.0000 0.0000
0.0000 4.0886 0.0000
-0.5481 0.0000 4.7616
Al Zn Cr
1 1 2
Cartesian
0.0000 0.0000 0.0000
-0.0735 2.0443 3.4521
0.9858 0.0000 2.2759
1.4921 2.0443 1.1735

=====

Record 2
AlZnCr (GGA-PBEsol, relaxed); DFT formation energy = 140 meV per atom; electronic total energy = -5.165 eV per atom; ρ = 5.86 g/cm³; crystal system = tetragonal
1.0
-1.4500 1.4500 4.8673
1.4500 -1.4500 4.8673
1.4500 1.4500 -4.8673
Al Zn Cr
1 1 1
Cartesian
0.0000 0.0000 0.0000
0.0000 0.0000 3.1148
0.0000 0.0000 6.4077